Material: Cr5CoO8
Method: DFT, GGA+U
State: optimized geometry

Unit cell a=6.010 b=6.010 c=6.010 alpha=60.00 beta=60.00 gamma=60.00
Sites, in units of the cell vectors:
Cr 0.000 0.000 0.000
Cr 0.375 0.375 0.375
Cr 0.375 0.375 0.875
Cr 0.375 0.875 0.375
Cr 0.875 0.375 0.375
Co 0.750 0.750 0.750
O 0.138 0.138 0.138
O 0.138 0.138 0.587
O 0.138 0.587 0.138
O 0.158 0.614 0.614
O 0.587 0.138 0.138
O 0.614 0.158 0.614
O 0.614 0.614 0.158
O 0.614 0.614 0.614

Total magnetic moment (μB per formula unit): 11.0
Uncorrected energy (eV per atom): -7.325